First-principles (PBE) data for SrMn2Tl after structural relaxation, as listed in Alexandria.

Energy of formation in eV/atom: 0.418
Energy above the lowest structure with this stoichiometry in meV per atom: 30.3
Theoretical density in kg/m³: 6322

a = 8.192 Å, b = 4.719 Å, c = 6.100 Å
α = 90.00°, β = 116.46°, γ = 90.00°
Space group C2/m (No. 12)
Unique sites:
1 Sr 0.000 0.000 0.000 x2
2 Mn 0.200 0.000 0.598 x4
3 Tl 0.000 0.500 0.500 x2